## Ba2ZrP2 (PBE)

Data for a geometry-optimized Ba2ZrP2 structure.

Cell and atoms, written as CIF:
```
data_Ba2ZrP2
_space_group_name_H-M_alt 'P 4/m b m'
_space_group_IT_number 127
_space_group_name_Hall '-P 4 2ab'
_cell_length_a 7.714
_cell_length_b 7.714
_cell_length_c 4.771
_cell_angle_alpha 90.00
_cell_angle_beta 90.00
_cell_angle_gamma 90.00
loop_
_atom_site_label
_atom_site_fract_x
_atom_site_fract_y
_atom_site_fract_z
_atom_site_occupancy
Ba1 0.148 0.352 0.000 1
Zr1 0.000 0.000 0.500 1
P1 0.174 0.674 0.500 1
```

density = 5.0 g cm⁻³
calculated total energy = -5.315 eV/atom